DFT (GGA-PBE) results for a relaxed Na2Zn3H4Se4O14 crystal.

## Properties
E (eV/cell): -269.39

```
Na2Zn3H4Se4O14
1.0
8.191 -3.352 0.000
8.191 3.352 0.000
-5.145 0.000 14.261
Na Zn H Se O
4 6 8 8 28
Direct
0.030 0.752 0.505
0.248 0.970 0.995
0.752 0.030 0.005
0.970 0.248 0.495
0.173 0.827 0.750
0.325 0.654 0.116
0.346 0.675 0.384
0.654 0.325 0.616
0.675 0.346 0.884
0.827 0.173 0.250
0.065 0.503 0.621
0.286 0.304 0.113
0.304 0.286 0.613
0.497 0.935 0.879
0.503 0.065 0.121
0.696 0.714 0.387
0.714 0.696 0.887
0.935 0.497 0.379
0.023 0.269 0.788
0.220 0.571 0.887
0.269 0.023 0.288
0.429 0.780 0.613
0.571 0.220 0.387
0.731 0.977 0.712
0.780 0.429 0.113
0.977 0.731 0.212
0.032 0.217 0.339
0.039 0.847 0.315
0.138 0.745 0.991
0.153 0.346 0.599
0.153 0.961 0.185
0.201 0.563 0.155
0.217 0.032 0.839
0.255 0.862 0.509
0.326 0.456 0.419
0.346 0.153 0.099
0.351 0.623 0.850
0.377 0.649 0.650
0.437 0.799 0.345
0.456 0.326 0.919
0.544 0.674 0.081
0.563 0.201 0.655
0.623 0.351 0.350
0.649 0.377 0.150
0.654 0.847 0.901
0.674 0.544 0.581
0.745 0.138 0.491
0.783 0.968 0.161
0.799 0.437 0.845
0.847 0.039 0.815
0.847 0.654 0.401
0.862 0.255 0.009
0.961 0.153 0.685
0.968 0.783 0.661
```